The following is a DFT calculation (GGA-PBE) of Hg2AsCl after structural relaxation.

CIF file:
```
data_Hg2AsCl
_chemical_formula_sum 'Hg4 As2 Cl2'
_symmetry_space_group_name_H-M 'C m m m'
_symmetry_Int_Tables_number 65
_symmetry_space_group_name_Hall '-C 2 2'
_cell_length_a 4.057
_cell_length_b 6.289
_cell_length_c 7.976
_cell_angle_alpha 90.00
_cell_angle_beta 90.00
_cell_angle_gamma 90.00
loop_
_atom_site_label
_atom_site_fract_x
_atom_site_fract_y
_atom_site_fract_z
_atom_site_occupancy
Hg1 0.000 0.000 0.236 1
As1 0.000 0.500 0.000 1
Cl1 0.000 0.500 0.500 1
```

Results
- offset from the most stable computed form (meV per atom) = 321
- formation energy (no corrections) (eV per atom) = 0.055
- D(E_F) (states/eV per cell) = 2.96
- energy (eV for the cell shown) = -13.8


The following is a DFT calculation (GGA-PBE) of Hg2AsCl2 after structural relaxation.

CIF file:
```
data_Hg2AsCl2
_chemical_formula_sum 'Hg8 As4 Cl8'
_symmetry_space_group_name_H-M 'C 1 2/m 1'
_symmetry_Int_Tables_number 12
_symmetry_space_group_name_Hall '-C 2y'
_cell_length_a 9.206
_cell_length_b 8.417
_cell_length_c 7.865
_cell_angle_alpha 90.00
_cell_angle_beta 116.22
_cell_angle_gamma 90.00
loop_
_atom_site_label
_atom_site_fract_x
_atom_site_fract_y
_atom_site_fract_z
_atom_site_occupancy
Hg1 0.196 0.000 0.444 1
Hg2 0.250 0.250 0.000 1
As1 0.147 0.000 0.098 1
Cl1 0.000 0.223 0.500 1
Cl2 0.114 0.500 0.216 1
```

Results
- formation energy (no corrections) (eV per atom) = -0.406
- D(E_F) (states/eV per cell) = 0.00
- energy (eV for the cell shown) = -43.9


The following is a DFT calculation (GGA-PBE) of Hg3AsCl after structural relaxation.

CIF file:
```
data_Hg3AsCl
_chemical_formula_sum 'Hg3 As1 Cl1'
_symmetry_space_group_name_H-M 'P m -3 m'
_symmetry_Int_Tables_number 221
_symmetry_space_group_name_Hall '-P 4 2 3'
_cell_length_a 5.375
_cell_length_b 5.375
_cell_length_c 5.375
_cell_angle_alpha 90.00
_cell_angle_beta 90.00
_cell_angle_gamma 90.00
loop_
_atom_site_label
_atom_site_fract_x
_atom_site_fract_y
_atom_site_fract_z
_atom_site_occupancy
Hg1 0.000 0.000 0.500 1
As1 0.000 0.000 0.000 1
Cl1 0.500 0.500 0.500 1
```

Results
- offset from the most stable computed form (meV per atom) = 24
- formation energy (no corrections) (eV per atom) = -0.103
- D(E_F) (states/eV per cell) = 0.88
- energy (eV for the cell shown) = -7.9


The following is a DFT calculation (GGA-PBE) of Hg3AsCl after structural relaxation.

CIF file:
```
data_Hg3AsCl
_chemical_formula_sum 'Hg3 As1 Cl1'
_symmetry_space_group_name_H-M 'P m -3 m'
_symmetry_Int_Tables_number 221
_symmetry_space_group_name_Hall '-P 4 2 3'
_cell_length_a 5.443
_cell_length_b 5.443
_cell_length_c 5.443
_cell_angle_alpha 90.00
_cell_angle_beta 90.00
_cell_angle_gamma 90.00
loop_
_atom_site_label
_atom_site_fract_x
_atom_site_fract_y
_atom_site_fract_z
_atom_site_occupancy
Hg1 0.000 0.000 0.500 1
As1 0.500 0.500 0.500 1
Cl1 0.000 0.000 0.000 1
```

Results
- offset from the most stable computed form (meV per atom) = 783
- formation energy (no corrections) (eV per atom) = 0.655
- D(E_F) (states/eV per cell) = 2.59
- energy (eV for the cell shown) = -4.1


The following is a DFT calculation (GGA-PBE) of HgAsCl2 after structural relaxation.

CIF file:
```
data_HgAsCl2
_chemical_formula_sum 'Hg1 As1 Cl2'
_symmetry_space_group_name_H-M 'P 4/m m m'
_symmetry_Int_Tables_number 123
_symmetry_space_group_name_Hall '-P 4 2'
_cell_length_a 4.627
_cell_length_b 4.627
_cell_length_c 4.159
_cell_angle_alpha 90.00
_cell_angle_beta 90.00
_cell_angle_gamma 90.00
loop_
_atom_site_label
_atom_site_fract_x
_atom_site_fract_y
_atom_site_fract_z
_atom_site_occupancy
Hg1 0.000 0.000 0.000 1
As1 0.500 0.500 0.000 1
Cl1 0.000 0.500 0.500 1
```

Results
- offset from the most stable computed form (meV per atom) = 589
- formation energy (no corrections) (eV per atom) = 0.291
- D(E_F) (states/eV per cell) = 2.77
- energy (eV for the cell shown) = -7.5


The following is a DFT calculation (GGA-PBE) of HgAsCl2 after structural relaxation.

CIF file:
```
data_HgAsCl2
_chemical_formula_sum 'Hg1 As1 Cl2'
_symmetry_space_group_name_H-M 'P m m m'
_symmetry_Int_Tables_number 47
_symmetry_space_group_name_Hall '-P 2 2'
_cell_length_a 3.405
_cell_length_b 4.402
_cell_length_c 6.126
_cell_angle_alpha 90.00
_cell_angle_beta 90.00
_cell_angle_gamma 90.00
loop_
_atom_site_label
_atom_site_fract_x
_atom_site_fract_y
_atom_site_fract_z
_atom_site_occupancy
Hg1 0.000 0.000 0.000 1
As1 0.500 0.000 0.500 1
Cl1 0.000 0.500 0.500 1
Cl2 0.500 0.500 0.000 1
```

Results
- offset from the most stable computed form (meV per atom) = 414
- formation energy (no corrections) (eV per atom) = 0.116
- D(E_F) (states/eV per cell) = 2.41
- energy (eV for the cell shown) = -8.2


The following is a DFT calculation (GGA-PBE) of HgAsCl after structural relaxation.

CIF file:
```
data_HgAsCl
_chemical_formula_sum 'Hg4 As4 Cl4'
_symmetry_space_group_name_H-M 'F -4 3 m'
_symmetry_Int_Tables_number 216
_symmetry_space_group_name_Hall 'F -4 2 3'
_cell_length_a 6.791
_cell_length_b 6.791
_cell_length_c 6.791
_cell_angle_alpha 90.00
_cell_angle_beta 90.00
_cell_angle_gamma 90.00
loop_
_atom_site_label
_atom_site_fract_x
_atom_site_fract_y
_atom_site_fract_z
_atom_site_occupancy
Hg1 0.000 0.000 0.000 1
As1 0.250 0.250 0.250 1
Cl1 0.000 0.000 0.500 1
```

Results
- offset from the most stable computed form (meV per atom) = 637
- formation energy (no corrections) (eV per atom) = 0.292
- D(E_F) (states/eV per cell) = 13.35
- energy (eV for the cell shown) = -23.7


The following is a DFT calculation (GGA-PBE) of Hg2AsCl2 after structural relaxation.

CIF file:
```
data_Hg2AsCl2
_chemical_formula_sum 'Hg16 As8 Cl16'
_symmetry_space_group_name_H-M 'C 1 2/m 1'
_symmetry_Int_Tables_number 12
_symmetry_space_group_name_Hall '-C 2y'
_cell_length_a 14.285
_cell_length_b 8.464
_cell_length_c 9.220
_cell_angle_alpha 90.00
_cell_angle_beta 99.21
_cell_angle_gamma 90.00
loop_
_atom_site_label
_atom_site_fract_x
_atom_site_fract_y
_atom_site_fract_z
_atom_site_occupancy
Hg1 0.023 0.246 0.259 1
Hg2 0.217 0.000 0.987 1
Hg3 0.224 0.500 0.552 1
As1 0.040 0.000 0.891 1
As2 0.055 0.500 0.411 1
Cl1 0.111 0.000 0.508 1
Cl2 0.111 0.500 0.973 1
Cl3 0.227 0.223 0.238 1
```

Results
- formation energy (no corrections) (eV per atom) = -0.411
- energy (eV for the cell shown) = -88.0


The following is a DFT calculation (GGA-PBE) of HgAs2Cl after structural relaxation.

CIF file:
```
data_HgAs2Cl
_chemical_formula_sum 'Hg3 As6 Cl3'
_symmetry_space_group_name_H-M 'R -3 m'
_symmetry_Int_Tables_number 166
_symmetry_space_group_name_Hall '-R 3 2"'
_cell_length_a 3.2311
_cell_length_b 3.2311
_cell_length_c 28.0128
_cell_angle_alpha 90.00
_cell_angle_beta 90.00
_cell_angle_gamma 120.00
loop_
_atom_site_label
_atom_site_fract_x
_atom_site_fract_y
_atom_site_fract_z
_atom_site_occupancy
Hg1 0.0000 0.0000 0.0000 1
As1 0.0000 0.0000 0.2475 1
Cl1 0.0000 0.0000 0.5000 1
```

Results
- offset from the most stable computed form (meV per atom) = 558
- formation energy (no corrections) (eV per atom) = 0.407
- D(E_F) (states/eV per cell) = 8.10
- energy (eV for the cell shown) = -29.5


The following is a DFT calculation (GGA-PBE) of Hg4As2Cl3 after structural relaxation.

CIF file:
```
data_Hg4As2Cl3
_chemical_formula_sum 'Hg16 As8 Cl12'
_symmetry_space_group_name_H-M 'C 1 2/c 1'
_symmetry_Int_Tables_number 15
_symmetry_space_group_name_Hall '-C 2yc'
_cell_length_a 11.235
_cell_length_b 12.024
_cell_length_c 7.901
_cell_angle_alpha 90.00
_cell_angle_beta 105.87
_cell_angle_gamma 90.00
loop_
_atom_site_label
_atom_site_fract_x
_atom_site_fract_y
_atom_site_fract_z
_atom_site_occupancy
Hg1 0.098 0.169 0.054 1
Hg2 0.178 0.475 0.558 1
As1 0.171 0.362 0.836 1
Cl1 0.000 0.338 0.250 1
Cl2 0.121 0.135 0.603 1
```

Results
- formation energy (no corrections) (eV per atom) = -0.239
- D(E_F) (states/eV per cell) = 20.14
- energy (eV for the cell shown) = -72.8


The following is a DFT calculation (GGA-PBE) of HgAs2Cl after structural relaxation.

CIF file:
```
data_HgAs2Cl
_chemical_formula_sum 'Hg3 As6 Cl3'
_symmetry_space_group_name_H-M 'R 3 m'
_symmetry_Int_Tables_number 160
_symmetry_space_group_name_Hall 'R 3 -2"'
_cell_length_a 3.7805
_cell_length_b 3.7805
_cell_length_c 23.5644
_cell_angle_alpha 90.00
_cell_angle_beta 90.00
_cell_angle_gamma 120.00
loop_
_atom_site_label
_atom_site_fract_x
_atom_site_fract_y
_atom_site_fract_z
_atom_site_occupancy
Hg1 0.0000 0.0000 0.0000 1
As1 0.0000 0.0000 0.4817 1
As2 0.0000 0.0000 0.7575 1
Cl1 0.0000 0.0000 0.2568 1
```

Results
- offset from the most stable computed form (meV per atom) = 32
- formation energy (no corrections) (eV per atom) = -0.119
- D(E_F) (states/eV per cell) = 6.01
- energy (eV for the cell shown) = -35.8


The following is a DFT calculation (GGA-PBE) of HgAs2Cl after structural relaxation.

CIF file:
```
data_HgAs2Cl
_chemical_formula_sum 'Hg2 As4 Cl2'
_symmetry_space_group_name_H-M 'I -4 m 2'
_symmetry_Int_Tables_number 119
_symmetry_space_group_name_Hall 'I -4 -2'
_cell_length_a 4.941
_cell_length_b 4.941
_cell_length_c 6.973
_cell_angle_alpha 90.00
_cell_angle_beta 90.00
_cell_angle_gamma 90.00
loop_
_atom_site_label
_atom_site_fract_x
_atom_site_fract_y
_atom_site_fract_z
_atom_site_occupancy
Hg1 0.000 0.000 0.000 1
As1 0.000 0.000 0.500 1
As2 0.000 0.500 0.250 1
Cl1 0.000 0.500 0.750 1
```

Results
- offset from the most stable computed form (meV per atom) = 448
- formation energy (no corrections) (eV per atom) = 0.297
- D(E_F) (states/eV per cell) = 4.52
- energy (eV for the cell shown) = -20.5